Computed, not measured: crystalline HfZn2Ru2 at its relaxed geometry at the GGA-PBE level of DFT.

```
HfZn2Ru2
1.0
6.926 0.000 0.000
0.000 6.926 0.000
0.000 0.000 3.186
Hf Zn Ru
2 4 4
Cartesian
0.000 0.000 0.000 Hf
3.463 3.463 0.000 Hf
0.842 2.621 0.000 Zn
2.621 6.084 0.000 Zn
4.305 0.842 0.000 Zn
6.084 4.305 0.000 Zn
1.229 4.692 1.593 Ru
2.234 1.229 1.593 Ru
4.692 5.697 1.593 Ru
5.697 2.234 1.593 Ru
```

As for the calculated volume: 15.279 Å³ per atom. For the excess energy over the best structure of this formula in the dataset, the calculation gives 0.000 eV per formula unit. As for the total moment: 0.00 μB/cell. The calculation puts the total DFT energy (no corrections) at -6.416 eV per atom. As for the energy of formation from the pure elements: -1.0 eV per formula unit. The space group is P4/mbm. The density comes out at 11.117 g/cm³.


Computed, not measured: crystalline HfZn3Ru at its relaxed geometry at the GGA-PBE level of DFT.

```
HfZn3Ru
1.0
4.626 0.000 0.000
0.000 4.626 0.000
0.000 0.000 4.626
Hf Zn Ru
1 3 1
Cartesian
0.000 0.000 0.000 Hf
0.000 2.313 2.313 Zn
2.313 0.000 2.313 Zn
2.313 2.313 0.000 Zn
2.313 2.313 2.313 Ru
```

As for the calculated volume: 19.800 Å³ per atom. For the excess energy over the best structure of this formula in the dataset, the calculation gives 0.000 eV per formula unit. As for the total moment: 0.65 μB/cell. The calculation puts the total DFT energy (no corrections) at -3.996 eV per atom. As for the energy of formation from the pure elements: 3.1 eV per formula unit. The space group is Pm-3m. The density comes out at 7.981 g/cm³.